Material: BiPtCl2
Method: DFT, GGA-PBEsol
State: relaxed

## Properties
E_tot ... -3.665 eV per atom
Energy relative to the elements, uncorrected ... 59 kJ/mol of formula units
ΔE to the lowest computed polymorph ... 0 meV per atom

```
data_BiPtCl2
_cell_length_a 3.5356
_cell_length_b 3.5356
_cell_length_c 25.8373
_cell_angle_alpha 90.00
_cell_angle_beta 90.00
_cell_angle_gamma 120.00
_space_group_name_H-M_alt 'R -3 m'
_space_group_IT_number 166
_space_group_name_Hall '-R 3 2"'
loop_
_atom_site_label
_atom_site_fract_x
_atom_site_fract_y
_atom_site_fract_z
_atom_site_occupancy
Bi1 0.0000 0.0000 0.0000 1
Pt1 0.0000 0.0000 0.5000 1
Cl1 0.0000 0.0000 0.1077 1
```